{
  "formula": "K2LiRe",
  "functional": "PBEsol",
  "state": "optimized geometry",
  "space_group": "Cmmm (65)",
  "e_form_kj_per_mol_atoms": 106,
  "dft_energy_ev_per_cell": -13.2,
  "dos_at_fermi_per_ev_cell": 2.768,
  "volume_a3_per_atom": 23.785,
  "m_tot_mub_per_fu": 0.00,
  "cell": [[-2.6096, -0.5478, 0.8573], [1.4718, -1.8395, 1.5149], [1.2012, 8.3827, 9.0121]],
  "species": ["K", "K", "Li", "Re"],
  "fractional_positions": [[0.0000, 0.0000, 0.2228], [0.0000, 0.0000, 0.7772], [0.5000, 0.5000, 0.5000], [0.5000, 0.5000, 0.0000]]
}